No. 1
Computed, not measured: a relaxed structure of Ba3Sr4Cd at the PBE level of DFT.

Properties
Total magnetic moment, μB per cell: 0.00
Formation enthalpy at 0 K, eV/atom: -0.065

Unit cell a=4.2452 b=4.2452 c=23.4085 alpha=90.00 beta=90.00 gamma=90.00
Closest atoms and distances in Å follow each position.
Fractional coordinates of all 8 atoms:
Ba 0.0000 0.0000 0.0000  4 Ba 4.25, 8 Sr 4.42
Ba 0.0000 0.0000 0.2780  4 Ba 4.25, 8 Sr 4.44-4.45
Ba 0.0000 0.0000 0.7220  4 Ba 4.25, 8 Sr 4.44-4.45
Sr 0.5000 0.5000 0.1384  4 Sr 4.25, 8 Ba 4.42-4.44
Sr 0.5000 0.5000 0.4180  4 Cd 3.56, 1 Sr 3.84
Sr 0.5000 0.5000 0.5820  4 Cd 3.56, 1 Sr 3.84
Sr 0.5000 0.5000 0.8616  4 Sr 4.25, 8 Ba 4.42-4.44
Cd 0.0000 0.0000 0.5000  8 Sr 3.56

No. 2
Computed, not measured: a relaxed structure of Sn12Pt4Pb at the PBE level of DFT.

Properties
Total magnetic moment, μB per cell: 0.00
Formation enthalpy at 0 K, eV/atom: -0.282

Unit cell a=8.2884 b=8.2884 c=8.2884 alpha=109.47 beta=109.47 gamma=109.47
Closest atoms and distances in Å follow each position.
Fractional coordinates of all 17 atoms:
Sn 0.1563 0.3394 0.4957  2 Pt 2.69, 1 Sn 2.99
Sn 0.1563 0.6606 0.8169  2 Pt 2.69, 1 Sn 2.99
Sn 0.1831 0.8437 0.3394  2 Pt 2.69, 1 Sn 2.99
Sn 0.3394 0.1831 0.8437  2 Pt 2.69, 1 Sn 2.99
Sn 0.3394 0.4957 0.1563  2 Pt 2.69, 1 Sn 2.99
Sn 0.4957 0.1563 0.3394  2 Pt 2.69, 1 Sn 2.99
Sn 0.5043 0.8437 0.6606  2 Pt 2.69, 1 Sn 2.99
Sn 0.6606 0.5043 0.8437  2 Pt 2.69, 1 Sn 2.99
Sn 0.6606 0.8169 0.1563  2 Pt 2.69, 1 Sn 2.99
Sn 0.8169 0.1563 0.6606  2 Pt 2.69, 1 Sn 2.99
Sn 0.8437 0.3394 0.1831  2 Pt 2.69, 1 Sn 2.99
Sn 0.8437 0.6606 0.5043  2 Pt 2.69, 1 Sn 2.99
Pt 0.0000 0.0000 0.5000  6 Sn 2.69
Pt 0.0000 0.5000 0.0000  6 Sn 2.69
Pt 0.5000 0.0000 0.0000  6 Sn 2.69
Pt 0.5000 0.5000 0.5000  6 Sn 2.69
Pb 0.0000 0.0000 0.0000  12 Sn 3.58

No. 3
Computed, not measured: a relaxed structure of Na4Ge2Bi5 at the PBE level of DFT.

Properties
Total magnetic moment, μB per cell: 0.00
Formation enthalpy at 0 K, eV/atom: -0.131

Unit cell a=8.3536 b=3.4215 c=10.7979 alpha=90.00 beta=93.50 gamma=90.00
Closest atoms and distances in Å follow each position.
Fractional coordinates of all 11 atoms:
Na 0.1569 0.0000 0.3895  8 Bi 3.38-3.59, 3 Na 3.42-3.65, 2 Ge 3.46
Na 0.2819 0.0000 0.9400  4 Ge 3.28-3.30, 6 Bi 3.32-3.54, 2 Na 3.42
Na 0.7181 0.0000 0.0600  4 Ge 3.28-3.30, 6 Bi 3.32-3.54, 2 Na 3.42
Na 0.8431 0.0000 0.6105  8 Bi 3.38-3.59, 3 Na 3.42-3.65, 2 Ge 3.46
Ge 0.0525 0.5000 0.1180  1 Ge 2.64
Ge 0.9475 0.5000 0.8820  1 Ge 2.64
Bi 0.1856 0.5000 0.6822  1 Ge 3.02, 4 Na 3.32-3.38, 1 Bi 3.38
Bi 0.4034 0.5000 0.1988  1 Ge 3.01, 1 Bi 3.30
Bi 0.5000 0.5000 0.5000  6 Bi 3.30-3.42, 4 Na 3.49
Bi 0.5966 0.5000 0.8012  1 Ge 3.01, 1 Bi 3.30
Bi 0.8144 0.5000 0.3178  1 Ge 3.02, 4 Na 3.32-3.38, 1 Bi 3.38